A plane-wave DFT calculation with GGA-PBE was carried out for a relaxed structure of MnHg.

Values from the calculation:
For the energy above the most stable polymorph in this dataset, the calculation gives 0.018 eV per atom. The calculation puts the density of states at the Fermi level at 1.527 states/eV per cell. The calculated total energy comes out at -0.161 hartree per atom. The crystal system is cubic. The calculation puts the formation enthalpy at 0 K at 32.9 kJ per mole of atoms.

Unit cell a=3.325 b=3.325 c=3.325 alpha=90.00 beta=90.00 gamma=90.00
Space group Pm-3m (No. 221)
Asymmetric unit:
Mn  0.000  0.000  0.000 (multiplicity 1)
Hg  0.500  0.500  0.500 (multiplicity 1)

=====

A plane-wave DFT calculation with GGA-PBE was carried out for a relaxed structure of MnHg.

Values from the calculation:
For the energy above the most stable polymorph in this dataset, the calculation gives 0.479 eV per atom. The calculation puts the density of states at the Fermi level at 18.656 states/eV per cell. The calculated total energy comes out at -0.145 hartree per atom. The crystal system is cubic. The calculation puts the formation enthalpy at 0 K at 77.5 kJ per mole of atoms.

Unit cell a=8.360 b=8.360 c=8.360 alpha=90.00 beta=90.00 gamma=90.00
Space group I-43m (No. 217)
Asymmetric unit:
Mn  0.112  0.112  0.112 (multiplicity 8)
Hg  0.204  0.204  0.796 (multiplicity 8)

=====

A plane-wave DFT calculation with GGA-PBE was carried out for a relaxed structure of Mn3Hg.

Values from the calculation:
The calculation puts the density of states at the Fermi level at 8.157 states/eV per cell. The calculated total energy comes out at -0.239 hartree per atom. The crystal system is tetragonal. The calculation puts the formation enthalpy at 0 K at 44.0 kJ per mole of atoms.

Unit cell a=3.954 b=3.954 c=8.185 alpha=90.00 beta=90.00 gamma=90.00
Space group I4/mmm (No. 139)
Asymmetric unit:
Mn  0.000  0.000  0.000 (multiplicity 2)
Mn  0.000  0.500  0.250 (multiplicity 4)
Hg  0.000  0.000  0.500 (multiplicity 2)

=====

Question: Which of these has the lowest calculated total energy?
Answer: Mn3Hg

=====

Question: The lowest formation enthalpy at 0 K belongs to which entry?
Answer: number 1

=====

Question: Among the records above, which one has the highest formation enthalpy at 0 K?
Answer: number 2